No. 1
This record from the Alexandria database describes CaTa2Pb at its PBEsol-relaxed geometry. The functional is SCAN.

ΔH_f (0 K): 0.4871 eV/atom
magnetic moment: 0.000 μB/atom
energy: -54.166 eV/atom
V: 20.77 Å³ per atom

Lattice parameters (Å, degrees): 4.8976 4.8976 4.8976 60.00 60.00 60.00
Last column: nearest neighbours and their distance in Å.
Fractional positions:
Ca 0.5000 0.5000 0.5000  4 Pb 3.00, 4 Ta 3.00
Ta 0.0000 0.0000 0.0000  4 Ta 3.00, 4 Pb 3.00
Ta 0.7500 0.7500 0.7500  4 Ca 3.00, 4 Ta 3.00
Pb 0.2500 0.2500 0.2500  4 Ta 3.00, 4 Ca 3.00

=====

No. 2
This record from the Alexandria database describes InTeF2 at its PBEsol-relaxed geometry. The functional is SCAN.

magnetic moment: 0.000 μB/atom
energy: -20.517 eV/atom
V: 17.60 Å³ per atom
formation energy from raw total energies: -1.088 eV per atom

Lattice parameters (Å, degrees): 3.0985 3.0985 8.6543 79.69 79.69 60.00
Last column: nearest neighbours and their distance in Å.
Fractional positions:
F 0.0864 0.0864 0.7407  1 In 2.20
F 0.9136 0.9136 0.2593  1 In 2.20
Te 0.5000 0.5000 0.5000  6 F 2.71
In 0.0000 0.0000 0.0000  2 F 2.20

=====

No. 3
This record from the Alexandria database describes LiCoP3 at its PBEsol-relaxed geometry. The functional is SCAN.

ΔH_f (0 K): 1.1769 eV/atom
magnetic moment: 0.429 μB/atom
energy: -9.001 eV/atom
V: 14.08 Å³ per atom

Lattice parameters (Å, degrees): 4.1292 4.1292 4.1292 90.00 90.00 90.00
Last column: nearest neighbours and their distance in Å.
Fractional positions:
Co 0.5000 0.5000 0.5000  12 P 2.92
Li 0.0000 0.0000 0.0000  6 P 2.06
P 0.5000 0.0000 0.0000  2 Li 2.06
P 0.0000 0.5000 0.0000  2 Li 2.06
P 0.0000 0.0000 0.5000  2 Li 2.06

=====

No. 4
This record from the Alexandria database describes FeSiNi2 at its PBEsol-relaxed geometry. The functional is SCAN.

magnetic moment: 0.680 μB/atom
energy: -15.502 eV/atom
V: 10.54 Å³ per atom
formation energy from raw total energies: -0.379 eV per atom

Lattice parameters (Å, degrees): 3.4588 3.4588 3.5231 90.00 90.00 90.00
Last column: nearest neighbours and their distance in Å.
Fractional positions:
Fe 0.0000 0.0000 0.5000  4 Si 2.45, 8 Ni 2.47
Ni 0.0000 0.5000 0.0000  4 Ni 2.45, 4 Fe 2.47, 4 Si 2.47
Ni 0.5000 0.0000 0.0000  4 Ni 2.45, 4 Fe 2.47, 4 Si 2.47
Si 0.5000 0.5000 0.5000  4 Fe 2.45, 8 Ni 2.47

=====

No. 5
This record from the Alexandria database describes LiAlNi2 at its PBEsol-relaxed geometry. The functional is SCAN.

ΔH_f (0 K): -0.3811 eV/atom
magnetic moment: 0.004 μB/atom
energy: -11.003 eV/atom
V: 11.09 Å³ per atom

Lattice parameters (Å, degrees): 2.8260 2.8260 5.5563 90.00 90.00 90.00
Last column: nearest neighbours and their distance in Å.
Fractional positions:
Li 0.5000 0.5000 0.5000  8 Ni 2.43
Ni 0.0000 0.0000 0.2516  4 Li 2.43, 4 Al 2.44
Ni 0.0000 0.0000 0.7484  4 Li 2.43, 4 Al 2.44
Al 0.5000 0.5000 0.0000  8 Ni 2.44

=====

No. 6
This record from the Alexandria database describes La2AlAu at its PBEsol-relaxed geometry. The functional is SCAN.

ΔH_f (0 K): -0.6777 eV/atom
magnetic moment: 0.000 μB/atom
energy: -41.457 eV/atom
V: 26.00 Å³ per atom

Lattice parameters (Å, degrees): 3.6451 3.6451 7.8277 90.00 90.00 90.00
Last column: nearest neighbours and their distance in Å.
Fractional positions:
Au 0.5000 0.5000 0.5000  8 La 3.21
La 0.0000 0.0000 0.7443  4 Au 3.21, 4 Al 3.26
La 0.0000 0.0000 0.2557  4 Au 3.21, 4 Al 3.26
Al 0.5000 0.5000 0.0000  8 La 3.26, 4 Al 3.65

=====

No. 7
This record from the Alexandria database describes BaIn2Cu at its PBEsol-relaxed geometry. The functional is SCAN.

ΔH_f (0 K): 0.1427 eV/atom
magnetic moment: 0.000 μB/atom
energy: -30.238 eV/atom
V: 29.11 Å³ per atom

Lattice parameters (Å, degrees): 4.3600 4.3551 6.8465 108.03 108.05 91.54
Last column: nearest neighbours and their distance in Å.
Fractional positions:
Ba 0.0000 0.5000 0.0000  4 Cu 3.04-3.12
In 0.0000 0.0000 0.5000  4 In 3.04-3.12
In 0.5000 0.5000 0.5000  4 In 3.04-3.12
Cu 0.5000 0.0000 0.0000  4 Ba 3.04-3.12

=====

No. 8
This record from the Alexandria database describes Zr2FeOs at its PBEsol-relaxed geometry. The functional is SCAN.

ΔH_f (0 K): 0.0731 eV/atom
magnetic moment: 0.243 μB/atom
energy: -37.779 eV/atom
V: 16.77 Å³ per atom

Lattice parameters (Å, degrees): 3.1070 3.1070 8.2198 79.11 79.11 60.00
Last column: nearest neighbours and their distance in Å.
Fractional positions:
Zr 0.2456 0.2456 0.2631  3 Fe 2.61, 3 Os 2.77
Zr 0.7544 0.7544 0.7369  3 Fe 2.61, 3 Os 2.77
Os 0.0000 0.0000 0.0000  6 Zr 2.77
Fe 0.5000 0.5000 0.5000  6 Zr 2.61

=====

No. 9
This record from the Alexandria database describes Cr2Tc at its PBEsol-relaxed geometry. The functional is SCAN.

ΔH_f (0 K): 0.0716 eV/atom
magnetic moment: 0.000 μB/atom
energy: -23.871 eV/atom
V: 12.14 Å³ per atom

Lattice parameters (Å, degrees): 4.6903 4.6903 15.2982 90.00 90.00 120.00
Last column: nearest neighbours and their distance in Å.
Fractional positions:
Cr 0.0000 0.5000 0.0000  6 Cr 2.31-2.35
Cr 0.3333 0.6667 0.6227  6 Cr 2.31-2.39
Cr 0.5000 0.0000 0.5000  6 Cr 2.31-2.35
Cr 0.8366 0.6733 0.2500  6 Cr 2.30-2.39
Cr 0.1634 0.8366 0.7500  6 Cr 2.30-2.39
Cr 0.0000 0.5000 0.5000  6 Cr 2.31-2.35
Cr 0.3267 0.1634 0.2500  6 Cr 2.30-2.39
Cr 0.3333 0.6667 0.8773  6 Cr 2.31-2.39
Cr 0.5000 0.5000 0.0000  6 Cr 2.31-2.35
Cr 0.6667 0.3333 0.3773  6 Cr 2.31-2.39
Cr 0.1634 0.3267 0.7500  6 Cr 2.30-2.39
Cr 0.6667 0.3333 0.1227  6 Cr 2.31-2.39
Cr 0.5000 0.0000 0.0000  6 Cr 2.31-2.35
Cr 0.5000 0.5000 0.5000  6 Cr 2.31-2.35
Cr 0.8366 0.1634 0.2500  6 Cr 2.30-2.39
Cr 0.6733 0.8366 0.7500  6 Cr 2.30-2.39
Tc 0.6667 0.3333 0.6563  12 Cr 2.75-2.76, 4 Tc 2.86-2.87
Tc 0.3333 0.6667 0.3437  12 Cr 2.75-2.76, 4 Tc 2.86-2.87
Tc 0.0000 0.0000 0.0956  12 Cr 2.71-2.76, 4 Tc 2.86-2.92
Tc 0.0000 0.0000 0.4044  12 Cr 2.71-2.76, 4 Tc 2.86-2.92
Tc 0.0000 0.0000 0.9044  12 Cr 2.71-2.76, 4 Tc 2.86-2.92
Tc 0.6667 0.3333 0.8437  12 Cr 2.75-2.76, 4 Tc 2.86-2.87
Tc 0.3333 0.6667 0.1563  12 Cr 2.75-2.76, 4 Tc 2.86-2.87
Tc 0.0000 0.0000 0.5956  12 Cr 2.71-2.76, 4 Tc 2.86-2.92

=====

No. 10
This record from the Alexandria database describes Sc2InSb at its PBEsol-relaxed geometry. The functional is SCAN.

magnetic moment: 0.000 μB/atom
energy: -24.919 eV/atom
V: 28.47 Å³ per atom
formation energy from raw total energies: -0.139 eV per atom

Lattice parameters (Å, degrees): 3.7114 3.7114 9.7828 79.07 79.07 60.00
Last column: nearest neighbours and their distance in Å.
Fractional positions:
Sb 0.5000 0.5000 0.5000  6 Sc 2.81
Sc 0.8968 0.8968 0.3096  3 Sb 2.81, 1 In 2.96
Sc 0.1032 0.1032 0.6904  3 Sb 2.81, 1 In 2.96
In 0.0000 0.0000 0.0000  2 Sc 2.96

=====

No. 11
This record from the Alexandria database describes ZnNi3 at its PBEsol-relaxed geometry. The functional is SCAN.

ΔH_f (0 K): -0.0257 eV/atom
magnetic moment: 0.453 μB/atom
energy: -15.535 eV/atom
V: 10.91 Å³ per atom

Lattice parameters (Å, degrees): 2.5056 2.5056 8.1545 81.16 81.16 60.00
Last column: nearest neighbours and their distance in Å.
Fractional positions:
Zn 0.5000 0.5000 0.5000  6 Ni 2.50, 6 Zn 2.51
Ni 0.2515 0.2515 0.2455  9 Ni 2.44-2.51, 3 Zn 2.50
Ni 0.7485 0.7485 0.7545  9 Ni 2.44-2.51, 3 Zn 2.50
Ni 0.0000 0.0000 0.0000  12 Ni 2.44-2.51

=====

No. 12
This record from the Alexandria database describes La4Y5 at its PBEsol-relaxed geometry. The functional is SCAN.

ΔH_f (0 K): 0.0406 eV/atom
magnetic moment: 0.001 μB/atom
energy: -34.585 eV/atom
V: 32.36 Å³ per atom

Lattice parameters (Å, degrees): 5.1051 7.9726 7.9726 84.12 71.33 71.33
Last column: nearest neighbours and their distance in Å.
Fractional positions:
La 0.0000 0.6657 0.3343  5 La 3.54-3.58, 7 Y 3.57-3.59
La 0.0000 0.3343 0.6657  5 La 3.54-3.58, 7 Y 3.57-3.59
La 0.6657 0.3343 0.3343  5 La 3.54-3.58, 7 Y 3.57-3.59
La 0.3343 0.6657 0.6657  5 La 3.54-3.58, 7 Y 3.57-3.59
Y 0.3351 0.0000 0.3298  6 Y 3.52-3.62, 6 La 3.58-3.59
Y 0.3351 0.3298 0.0000  6 Y 3.52-3.62, 6 La 3.58-3.59
Y 0.0000 0.0000 0.0000  8 Y 3.57, 4 La 3.57
Y 0.6649 0.6702 0.0000  6 Y 3.52-3.62, 6 La 3.58-3.59
Y 0.6649 0.0000 0.6702  6 Y 3.52-3.62, 6 La 3.58-3.59